Version 1
# GGA-PBE Rb2PtF, relaxed
# Theoretical density   4.5 g/cm3
data_Rb2PtF
_chemical_formula_sum 'Rb8 Pt4 F4'
_cell_length_a 7.9612
_cell_length_b 7.9612
_cell_length_c 9.0229
_cell_angle_alpha 90.00
_cell_angle_beta 90.00
_cell_angle_gamma 90.00
_space_group_name_H-M_alt 'I -4 2 d'
_space_group_IT_number 122
_space_group_name_Hall 'I -4 2bw'
loop_
_atom_site_label
_atom_site_type_symbol
_atom_site_fract_x
_atom_site_fract_y
_atom_site_fract_z
Rb1 Rb 0.1715 0.2500 0.1250
Pt1 Pt 0.0000 0.0000 0.5000
F1 F 0.0000 0.0000 0.0000

Version 2
# GGA-PBE Rb2PtF, relaxed
# Theoretical density   5.2 g/cm3
data_Rb2PtF
_chemical_formula_sum 'Rb8 Pt4 F4'
_cell_length_a 7.9066
_cell_length_b 7.9066
_cell_length_c 7.9066
_cell_angle_alpha 90.00
_cell_angle_beta 90.00
_cell_angle_gamma 90.00
_space_group_name_H-M_alt 'F m -3 m'
_space_group_IT_number 225
_space_group_name_Hall '-F 4 2 3'
loop_
_atom_site_label
_atom_site_type_symbol
_atom_site_fract_x
_atom_site_fract_y
_atom_site_fract_z
Rb1 Rb 0.2500 0.2500 0.2500
Pt1 Pt 0.0000 0.0000 0.0000
F1 F 0.0000 0.0000 0.5000

Of them, the most stable is version 1 and the least stable is version 2.